<i>
The following is a PBE calculation of NbRu2Au after structural relaxation, from Alexandria.

Properties
The calculated volume comes out at 62 Å³/f.u.

Lattice parameters (Å, degrees): 4.0539 4.0539 3.7909 90.00 90.00 90.00
Last column: nearest neighbours and their distance in Å.
Space group P4/mmm (No. 123)
Inequivalent atoms, fractional coordinates:
Nb  0.0000  0.0000  0.0000 (multiplicity 1)  8 Ru 2.78, 4 Au 2.87
Ru  0.0000  0.5000  0.5000 (multiplicity 2)  4 Nb 2.78, 4 Au 2.78, 4 Ru 2.87
Au  0.5000  0.5000  0.0000 (multiplicity 1)  8 Ru 2.78, 4 Nb 2.87

***

<ii>
The following is a PBE calculation of NbRu2Au after structural relaxation, from Alexandria.

Properties
The calculated volume comes out at 64 Å³/f.u.

Lattice parameters (Å, degrees): 6.3414 6.3414 6.3414 90.00 90.00 90.00
Last column: nearest neighbours and their distance in Å.
Space group Fm-3m (No. 225)
Inequivalent atoms, fractional coordinates:
Nb  0.0000  0.0000  0.0000 (multiplicity 4)  8 Ru 2.75
Ru  0.2500  0.2500  0.2500 (multiplicity 8)  4 Nb 2.75, 4 Au 2.75
Au  0.0000  0.0000  0.5000 (multiplicity 4)  8 Ru 2.75

***

It is <i> that is the most stable of them.

***

<i>
The following is a PBE calculation of NbRuAu after structural relaxation, from Alexandria.

Properties
The calculated volume comes out at 50 Å³/f.u.

Lattice parameters (Å, degrees): 4.5164 4.5164 2.8312 90.00 90.00 120.00
Last column: nearest neighbours and their distance in Å.
Space group P3m1 (No. 156)
Inequivalent atoms, fractional coordinates:
Nb  0.0000  0.0000  0.0000 (multiplicity 1)  3 Ru 2.67, 3 Au 2.83, 2 Nb 2.83
Ru  0.6667  0.3333  0.7919 (multiplicity 1)  3 Nb 2.67, 2 Ru 2.83, 3 Au 2.85
Au  0.3333  0.6667  0.3862 (multiplicity 1)  6 Nb 2.83-3.13, 2 Au 2.83, 6 Ru 2.85-3.10

***

<ii>
The following is a PBE calculation of NbRuAu after structural relaxation, from Alexandria.

Properties
The calculated volume comes out at 50 Å³/f.u.

Lattice parameters (Å, degrees): 3.0909 14.6128 4.4391 90.00 90.00 90.00
Last column: nearest neighbours and their distance in Å.
Space group Cmcm (No. 63)
Inequivalent atoms, fractional coordinates:
Nb  0.0000  0.0905  0.2500 (multiplicity 4)  6 Ru 2.71-2.74, 2 Au 2.98
Ru  0.0000  0.4380  0.2500 (multiplicity 4)  6 Nb 2.71-2.74, 2 Au 2.85, 2 Ru 2.87
Au  0.0000  0.2261  0.7500 (multiplicity 4)  6 Au 2.79-3.09, 2 Ru 2.85, 4 Nb 2.98-3.09

***

It is <ii> that is the most stable of them.

***

<i>
The following is a PBE calculation of Nb2Au2S after structural relaxation, from Alexandria.

Properties
The calculated volume comes out at 97 Å³/f.u.

Lattice parameters (Å, degrees): 7.7083 7.7083 3.2793 90.00 90.00 90.00
Last column: nearest neighbours and their distance in Å.
Space group P4/mbm (No. 127)
Inequivalent atoms, fractional coordinates:
Nb  0.1208  0.3792  0.0000 (multiplicity 4)  1 Nb 2.63, 6 Au 2.79-2.82
Au  0.1718  0.6718  0.5000 (multiplicity 4)  6 Nb 2.79-2.82, 2 S 2.86
S  0.0000  0.0000  0.5000 (multiplicity 2)  4 Au 2.86

***

<ii>
The following is a PBE calculation of Nb2Au2S after structural relaxation, from Alexandria.

Properties
The calculated volume comes out at 100 Å³/f.u.

Lattice parameters (Å, degrees): 3.7694 3.7694 14.0356 90.00 90.00 90.00
Last column: nearest neighbours and their distance in Å.
Space group I4/mmm (No. 139)
Inequivalent atoms, fractional coordinates:
Nb  0.0000  0.5000  0.2500 (multiplicity 4)  4 Nb 2.67, 4 Au 2.84
Au  0.0000  0.0000  0.0990 (multiplicity 4)  1 Au 2.78, 4 Nb 2.84, 4 S 3.01
S  0.0000  0.0000  0.5000 (multiplicity 2)  8 Au 3.01

***

It is <i> that is the most stable of them.

***

<i>
The following is a PBE calculation of NbAu3S after structural relaxation, from Alexandria.

Properties
The calculated volume comes out at 105 Å³/f.u.

Lattice parameters (Å, degrees): 4.7225 4.7225 4.7225 90.00 90.00 90.00
Last column: nearest neighbours and their distance in Å.
Space group Pm-3m (No. 221)
Inequivalent atoms, fractional coordinates:
Nb  0.0000  0.0000  0.0000 (multiplicity 1)  12 Au 3.34
Au  0.0000  0.5000  0.5000 (multiplicity 3)  2 S 2.36
S  0.5000  0.5000  0.5000 (multiplicity 1)  6 Au 2.36

***

<ii>
The following is a PBE calculation of NbAu3S after structural relaxation, from Alexandria.

Properties
The calculated volume comes out at 135 Å³/f.u.

Lattice parameters (Å, degrees): 5.1327 5.1327 5.1327 90.00 90.00 90.00
Last column: nearest neighbours and their distance in Å.
Space group Pm-3m (No. 221)
Inequivalent atoms, fractional coordinates:
Nb  0.0000  0.0000  0.0000 (multiplicity 1)  6 Au 2.57
Au  0.0000  0.0000  0.5000 (multiplicity 3)  2 Nb 2.57
S  0.5000  0.5000  0.5000 (multiplicity 1)  12 Au 3.63

***

It is <i> that is the most stable of them.

***

<i>
The following is a PBE calculation of Nb3AuS after structural relaxation, from Alexandria.

Properties
The calculated volume comes out at 124 Å³/f.u.

Lattice parameters (Å, degrees): 4.9856 4.9856 4.9856 90.00 90.00 90.00
Last column: nearest neighbours and their distance in Å.
Space group Pm-3m (No. 221)
Inequivalent atoms, fractional coordinates:
Nb  0.0000  0.0000  0.5000 (multiplicity 3)  2 Au 2.49
Au  0.0000  0.0000  0.0000 (multiplicity 1)  6 Nb 2.49
S  0.5000  0.5000  0.5000 (multiplicity 1)  12 Nb 3.53

***

<ii>
The following is a PBE calculation of Nb3AuS after structural relaxation, from Alexandria.

Properties
The calculated volume comes out at 95 Å³/f.u.

Lattice parameters (Å, degrees): 4.5705 4.5705 4.5705 90.00 90.00 90.00
Last column: nearest neighbours and their distance in Å.
Space group Pm-3m (No. 221)
Inequivalent atoms, fractional coordinates:
Nb  0.0000  0.0000  0.5000 (multiplicity 3)  2 S 2.29
Au  0.5000  0.5000  0.5000 (multiplicity 1)  12 Nb 3.23
S  0.0000  0.0000  0.0000 (multiplicity 1)  6 Nb 2.29

***

It is <ii> that is the most stable of them.

***

<i>
The following is a PBE calculation of NbSb2TeAu after structural relaxation, from Alexandria.

Properties
The calculated volume comes out at 148 Å³/f.u.

Lattice parameters (Å, degrees): 5.2573 5.2573 5.3653 90.00 90.00 90.00
Last column: nearest neighbours and their distance in Å.
Space group P4/mmm (No. 123)
Inequivalent atoms, fractional coordinates:
Nb  0.0000  0.0000  0.0000 (multiplicity 1)  4 Te 3.72, 8 Sb 3.76
Sb  0.0000  0.5000  0.5000 (multiplicity 2)  2 Au 2.63
Te  0.5000  0.5000  0.0000 (multiplicity 1)  2 Au 2.68
Au  0.5000  0.5000  0.5000 (multiplicity 1)  4 Sb 2.63, 2 Te 2.68

***

<ii>
The following is a PBE calculation of NbSb2TeAu after structural relaxation, from Alexandria.

Properties
The calculated volume comes out at 152 Å³/f.u.

Lattice parameters (Å, degrees): 5.3696 5.3696 5.2787 90.00 90.00 90.00
Last column: nearest neighbours and their distance in Å.
Space group P4/mmm (No. 123)
Inequivalent atoms, fractional coordinates:
Nb  0.0000  0.0000  0.0000 (multiplicity 1)  2 Te 2.64, 4 Sb 2.68
Sb  0.0000  0.5000  0.0000 (multiplicity 2)  2 Nb 2.68
Te  0.0000  0.0000  0.5000 (multiplicity 1)  2 Nb 2.64
Au  0.5000  0.5000  0.5000 (multiplicity 1)  8 Sb 3.76, 4 Te 3.80

***

It is <ii> that is the most stable of them.

***

<i>
The following is a PBE calculation of NbSbTe2Au after structural relaxation, from Alexandria.

Properties
The calculated volume comes out at 154 Å³/f.u.

Lattice parameters (Å, degrees): 5.3148 5.3148 5.4549 90.00 90.00 90.00
Last column: nearest neighbours and their distance in Å.
Space group P4/mmm (No. 123)
Inequivalent atoms, fractional coordinates:
Nb  0.0000  0.0000  0.0000 (multiplicity 1)  4 Te 2.66, 2 Sb 2.73
Sb  0.0000  0.0000  0.5000 (multiplicity 1)  2 Nb 2.73
Te  0.0000  0.5000  0.0000 (multiplicity 2)  2 Nb 2.66
Au  0.5000  0.5000  0.5000 (multiplicity 1)  4 Sb 3.76, 8 Te 3.81

***

<ii>
The following is a PBE calculation of NbSbTe2Au after structural relaxation, from Alexandria.

Properties
The calculated volume comes out at 149 Å³/f.u.

Lattice parameters (Å, degrees): 5.3448 5.3448 5.2235 90.00 90.00 90.00
Last column: nearest neighbours and their distance in Å.
Space group P4/mmm (No. 123)
Inequivalent atoms, fractional coordinates:
Nb  0.0000  0.0000  0.0000 (multiplicity 1)  8 Te 3.74, 4 Sb 3.78
Sb  0.5000  0.5000  0.0000 (multiplicity 1)  2 Au 2.61
Te  0.0000  0.5000  0.5000 (multiplicity 2)  2 Au 2.67
Au  0.5000  0.5000  0.5000 (multiplicity 1)  2 Sb 2.61, 4 Te 2.67

***

It is <i> that is the most stable of them.

***

<i>
The following is a PBE calculation of ScNbAu2 after structural relaxation, from Alexandria.

Properties
The calculated volume comes out at 81 Å³/f.u.

Lattice parameters (Å, degrees): 7.5927 7.5927 5.6019 90.00 90.00 90.00
Last column: nearest neighbours and their distance in Å.
Space group I-42d (No. 122)
Inequivalent atoms, fractional coordinates:
Sc  0.0000  0.0000  0.0000 (multiplicity 4)  2 Nb 2.80, 4 Au 2.82
Nb  0.0000  0.0000  0.5000 (multiplicity 4)  4 Au 2.73, 2 Sc 2.80
Au  0.2410  0.2500  0.6250 (multiplicity 8)  2 Nb 2.73, 2 Au 2.80, 2 Sc 2.82

***

<ii>
The following is a PBE calculation of ScNbAu2 after structural relaxation, from Alexandria.

Properties
The calculated volume comes out at 76 Å³/f.u.

Lattice parameters (Å, degrees): 6.7247 6.7247 6.7247 90.00 90.00 90.00
Last column: nearest neighbours and their distance in Å.
Space group Fm-3m (No. 225)
Inequivalent atoms, fractional coordinates:
Sc  0.0000  0.0000  0.0000 (multiplicity 4)  8 Au 2.91
Nb  0.0000  0.0000  0.5000 (multiplicity 4)  8 Au 2.91
Au  0.2500  0.2500  0.2500 (multiplicity 8)  4 Nb 2.91, 4 Sc 2.91

***

It is <ii> that is the most stable of them.

***

<i>
The following is a PBE calculation of NbAu3Se after structural relaxation, from Alexandria.

Properties
The calculated volume comes out at 135 Å³/f.u.

Lattice parameters (Å, degrees): 5.1360 5.1360 5.1360 90.00 90.00 90.00
Last column: nearest neighbours and their distance in Å.
Space group Pm-3m (No. 221)
Inequivalent atoms, fractional coordinates:
Nb  0.0000  0.0000  0.0000 (multiplicity 1)  6 Au 2.57
Au  0.0000  0.0000  0.5000 (multiplicity 3)  2 Nb 2.57
Se  0.5000  0.5000  0.5000 (multiplicity 1)  12 Au 3.63

***

<ii>
The following is a PBE calculation of NbAu3Se after structural relaxation, from Alexandria.

Properties
The calculated volume comes out at 120 Å³/f.u.

Lattice parameters (Å, degrees): 4.9290 4.9290 4.9290 90.00 90.00 90.00
Last column: nearest neighbours and their distance in Å.
Space group Pm-3m (No. 221)
Inequivalent atoms, fractional coordinates:
Nb  0.0000  0.0000  0.0000 (multiplicity 1)  12 Au 3.49
Au  0.0000  0.5000  0.5000 (multiplicity 3)  2 Se 2.46
Se  0.5000  0.5000  0.5000 (multiplicity 1)  6 Au 2.46

***

It is <ii> that is the most stable of them.

***

<i>
The following is a PBE calculation of Nb2Au2Se after structural relaxation, from Alexandria.

Properties
The calculated volume comes out at 98 Å³/f.u.

Lattice parameters (Å, degrees): 8.3486 8.3486 2.8247 90.00 90.00 90.00
Last column: nearest neighbours and their distance in Å.
Space group P4/mbm (No. 127)
Inequivalent atoms, fractional coordinates:
Nb  0.1740  0.3260  0.0000 (multiplicity 4)  6 Au 2.81-2.87, 2 Nb 2.82
Au  0.1203  0.6203  0.5000 (multiplicity 4)  6 Nb 2.81-2.87, 3 Au 2.82-2.84
Se  0.0000  0.0000  0.5000 (multiplicity 2)  2 Se 2.82

***

<ii>
The following is a PBE calculation of Nb2Au2Se after structural relaxation, from Alexandria.

Properties
The calculated volume comes out at 102 Å³/f.u.

Lattice parameters (Å, degrees): 3.8035 3.8035 14.0629 90.00 90.00 90.00
Last column: nearest neighbours and their distance in Å.
Space group I4/mmm (No. 139)
Inequivalent atoms, fractional coordinates:
Nb  0.0000  0.5000  0.2500 (multiplicity 4)  4 Nb 2.69, 4 Au 2.85
Au  0.0000  0.0000  0.0995 (multiplicity 4)  1 Au 2.80, 4 Nb 2.85, 4 Se 3.03
Se  0.0000  0.0000  0.5000 (multiplicity 2)  8 Au 3.03

***

It is <ii> that is the most stable of them.

***

<i>
The following is a PBE calculation of NbSiAu3 after structural relaxation, from Alexandria.

Properties
The calculated volume comes out at 104 Å³/f.u.

Lattice parameters (Å, degrees): 4.6995 4.6995 4.6995 90.00 90.00 90.00
Last column: nearest neighbours and their distance in Å.
Space group Pm-3m (No. 221)
Inequivalent atoms, fractional coordinates:
Nb  0.0000  0.0000  0.0000 (multiplicity 1)  12 Au 3.32
Si  0.5000  0.5000  0.5000 (multiplicity 1)  6 Au 2.35
Au  0.0000  0.5000  0.5000 (multiplicity 3)  2 Si 2.35

***

<ii>
The following is a PBE calculation of NbSiAu3 after structural relaxation, from Alexandria.

Properties
The calculated volume comes out at 133 Å³/f.u.

Lattice parameters (Å, degrees): 5.1091 5.1091 5.1091 90.00 90.00 90.00
Last column: nearest neighbours and their distance in Å.
Space group Pm-3m (No. 221)
Inequivalent atoms, fractional coordinates:
Nb  0.0000  0.0000  0.0000 (multiplicity 1)  6 Au 2.55
Si  0.5000  0.5000  0.5000 (multiplicity 1)  12 Au 3.61
Au  0.0000  0.0000  0.5000 (multiplicity 3)  2 Nb 2.55

***

It is <i> that is the most stable of them.

***

<i>
The following is a PBE calculation of NbSi3Au after structural relaxation, from Alexandria.

Properties
The calculated volume comes out at 109 Å³/f.u.

Lattice parameters (Å, degrees): 4.7752 4.7752 4.7752 90.00 90.00 90.00
Last column: nearest neighbours and their distance in Å.
Space group Pm-3m (No. 221)
Inequivalent atoms, fractional coordinates:
Nb  0.0000  0.0000  0.0000 (multiplicity 1)  12 Si 3.38
Si  0.0000  0.5000  0.5000 (multiplicity 3)  2 Au 2.39
Au  0.5000  0.5000  0.5000 (multiplicity 1)  6 Si 2.39

***

<ii>
The following is a PBE calculation of NbSi3Au after structural relaxation, from Alexandria.

Properties
The calculated volume comes out at 116 Å³/f.u.

Lattice parameters (Å, degrees): 4.8746 4.8746 4.8746 90.00 90.00 90.00
Last column: nearest neighbours and their distance in Å.
Space group Pm-3m (No. 221)
Inequivalent atoms, fractional coordinates:
Nb  0.0000  0.0000  0.0000 (multiplicity 1)  6 Si 2.44
Si  0.0000  0.0000  0.5000 (multiplicity 3)  2 Nb 2.44
Au  0.5000  0.5000  0.5000 (multiplicity 1)  12 Si 3.45

***

It is <ii> that is the most stable of them.

***

<i>
The following is a PBE calculation of NbSnAu3 after structural relaxation, from Alexandria.

Properties
The calculated volume comes out at 133 Å³/f.u.

Lattice parameters (Å, degrees): 5.1010 5.1010 5.1010 90.00 90.00 90.00
Last column: nearest neighbours and their distance in Å.
Space group Pm-3m (No. 221)
Inequivalent atoms, fractional coordinates:
Nb  0.0000  0.0000  0.0000 (multiplicity 1)  12 Au 3.61
Sn  0.5000  0.5000  0.5000 (multiplicity 1)  6 Au 2.55
Au  0.0000  0.5000  0.5000 (multiplicity 3)  2 Sn 2.55

***

<ii>
The following is a PBE calculation of NbSnAu3 after structural relaxation, from Alexandria.

Properties
The calculated volume comes out at 136 Å³/f.u.

Lattice parameters (Å, degrees): 5.1464 5.1464 5.1464 90.00 90.00 90.00
Last column: nearest neighbours and their distance in Å.
Space group Pm-3m (No. 221)
Inequivalent atoms, fractional coordinates:
Nb  0.0000  0.0000  0.0000 (multiplicity 1)  6 Au 2.57
Sn  0.5000  0.5000  0.5000 (multiplicity 1)  12 Au 3.64
Au  0.0000  0.0000  0.5000 (multiplicity 3)  2 Nb 2.57

***

It is <ii> that is the most stable of them.